1.
Crystalline MoRh2Cl at its relaxed geometry, computed with PBE.

The structure in CIF format:
```
data_MoRh2Cl
_chemical_formula_sum 'Mo1 Rh2 Cl1'
_cell_length_a 4.713
_cell_length_b 4.713
_cell_length_c 2.801
_cell_angle_alpha 90.00
_cell_angle_beta 90.00
_cell_angle_gamma 90.00
_space_group_name_H-M_alt 'P 1'
_space_group_IT_number 1
loop_
_space_group_symop_operation_xyz
'x,y,z'
loop_
_atom_site_label
_atom_site_type_symbol
_atom_site_fract_x
_atom_site_fract_y
_atom_site_fract_z
Cl1 Cl 0.500 0.000 0.500
Mo1 Mo 0.000 0.500 0.500
Rh1 Rh 0.000 0.000 0.000
Rh2 Rh 0.500 0.500 0.000
```

Values from the calculation:
Raw total energy in eV/cell: -24.80
Space group: P4/mmm
N(E_F) in states/eV per atom: 1.4457
Energy relative to the lowest polymorph listed for this composition in meV per atom: 578
Formation energy (no corrections) in eV/f.u.: 2.583

---

2.
Crystalline Mo2RhCl at its relaxed geometry, computed with PBE.

The structure in CIF format:
```
data_Mo2RhCl
_chemical_formula_sum 'Mo2 Rh1 Cl1'
_cell_length_a 2.945
_cell_length_b 4.445
_cell_length_c 4.765
_cell_angle_alpha 90.00
_cell_angle_beta 90.00
_cell_angle_gamma 90.00
_space_group_name_H-M_alt 'P 1'
_space_group_IT_number 1
loop_
_space_group_symop_operation_xyz
'x,y,z'
loop_
_atom_site_label
_atom_site_type_symbol
_atom_site_fract_x
_atom_site_fract_y
_atom_site_fract_z
Cl1 Cl 0.000 0.500 0.500
Mo1 Mo 0.000 0.000 0.000
Mo2 Mo 0.500 0.500 0.000
Rh1 Rh 0.500 0.000 0.500
```

Values from the calculation:
Raw total energy in eV/cell: -28.17
Space group: Pmmm
N(E_F) in states/eV per atom: 1.0516
Energy relative to the lowest polymorph listed for this composition in meV per atom: 585
Formation energy (no corrections) in eV/f.u.: 2.686

---

3.
Crystalline MoRh2Cl at its relaxed geometry, computed with PBE.

The structure in CIF format:
```
data_MoRh2Cl
_chemical_formula_sum 'Mo1 Rh2 Cl1'
_cell_length_a 2.870
_cell_length_b 2.870
_cell_length_c 7.533
_cell_angle_alpha 90.00
_cell_angle_beta 90.00
_cell_angle_gamma 90.06
_space_group_name_H-M_alt 'P 1'
_space_group_IT_number 1
loop_
_space_group_symop_operation_xyz
'x,y,z'
loop_
_atom_site_label
_atom_site_type_symbol
_atom_site_fract_x
_atom_site_fract_y
_atom_site_fract_z
Cl1 Cl 0.500 0.500 0.250
Mo1 Mo 0.500 0.500 0.750
Rh1 Rh 0.000 0.000 0.986
Rh2 Rh 0.000 0.000 0.514
```

Values from the calculation:
Raw total energy in eV/cell: -27.11
Space group: P4/mmm
N(E_F) in states/eV per atom: 0.5560
Energy relative to the lowest polymorph listed for this composition in meV per atom: 0
Formation energy (no corrections) in eV/f.u.: 0.271

---

4.
Crystalline MoRh2Cl at its relaxed geometry, computed with PBE.

The structure in CIF format:
```
data_MoRh2Cl
_chemical_formula_sum 'Mo1 Rh2 Cl1'
_cell_length_a 4.646
_cell_length_b 4.646
_cell_length_c 6.463
_cell_angle_alpha 84.83
_cell_angle_beta 84.83
_cell_angle_gamma 36.14
_space_group_name_H-M_alt 'P 1'
_space_group_IT_number 1
loop_
_space_group_symop_operation_xyz
'x,y,z'
loop_
_atom_site_label
_atom_site_type_symbol
_atom_site_fract_x
_atom_site_fract_y
_atom_site_fract_z
Cl1 Cl 0.644 0.644 0.462
Mo1 Mo 0.226 0.226 0.162
Rh1 Rh 0.949 0.949 0.032
Rh2 Rh 0.681 0.681 0.844
```

Values from the calculation:
Raw total energy in eV/cell: -26.50
Space group: Cm
N(E_F) in states/eV per atom: 0.9623
Energy relative to the lowest polymorph listed for this composition in meV per atom: 152
Formation energy (no corrections) in eV/f.u.: 0.879

---

5.
Crystalline Mo2RhCl at its relaxed geometry, computed with PBE.

The structure in CIF format:
```
data_Mo2RhCl
_chemical_formula_sum 'Mo2 Rh1 Cl1'
_cell_length_a 8.756
_cell_length_b 8.756
_cell_length_c 8.756
_cell_angle_alpha 18.78
_cell_angle_beta 18.78
_cell_angle_gamma 18.78
_space_group_name_H-M_alt 'P 1'
_space_group_IT_number 1
loop_
_space_group_symop_operation_xyz
'x,y,z'
loop_
_atom_site_label
_atom_site_type_symbol
_atom_site_fract_x
_atom_site_fract_y
_atom_site_fract_z
Cl1 Cl 0.750 0.750 0.750
Mo1 Mo 0.002 0.002 0.002
Mo2 Mo 0.498 0.498 0.498
Rh1 Rh 0.250 0.250 0.250
```

Values from the calculation:
Raw total energy in eV/cell: -30.01
Space group: R-3m
N(E_F) in states/eV per atom: 0.9588
Energy relative to the lowest polymorph listed for this composition in meV per atom: 127
Formation energy (no corrections) in eV/f.u.: 0.854

---

6.
Crystalline Mo2RhCl at its relaxed geometry, computed with PBE.

The structure in CIF format:
```
data_Mo2RhCl
_chemical_formula_sum 'Mo2 Rh1 Cl1'
_cell_length_a 4.405
_cell_length_b 4.405
_cell_length_c 4.405
_cell_angle_alpha 60.00
_cell_angle_beta 60.00
_cell_angle_gamma 60.00
_space_group_name_H-M_alt 'P 1'
_space_group_IT_number 1
loop_
_space_group_symop_operation_xyz
'x,y,z'
loop_
_atom_site_label
_atom_site_type_symbol
_atom_site_fract_x
_atom_site_fract_y
_atom_site_fract_z
Mo1 Mo 0.250 0.250 0.250
Mo2 Mo 0.750 0.750 0.750
Rh1 Rh 0.500 0.500 0.500
Cl1 Cl 0.000 0.000 0.000
```

Values from the calculation:
Raw total energy in eV/cell: -28.56
Space group: Fm-3m
N(E_F) in states/eV per atom: 0.8085
Energy relative to the lowest polymorph listed for this composition in meV per atom: 489
Formation energy (no corrections) in eV/f.u.: 2.299